[1]
6
Lattice="2.442 -7.901 0.000 2.442 7.901 0.000 0.000 0.000 4.881" Properties=species:S:1:pos:R:3 comment="La5Si, relaxed, DFT PBE" sg="Cmmm, No. 65" m_tot_mub_per_cell=0.0 energy_ev_per_atom=-5.15 formation_energy_uncorrected_ev_per_atom=-0.14 pbc="T T T"
La 0.000 0.000 0.000
La 2.442 5.434 2.441
La 2.442 2.375 0.000
La 2.442 -2.375 0.000
La 2.442 -5.434 2.441
Si 2.442 0.000 2.441

---

[2]
5
Lattice="4.929 0.000 0.000 0.000 4.929 0.000 0.000 0.000 5.283" Properties=species:S:1:pos:R:3 comment="ZnOsSeBr2, relaxed, DFT PBE" sg="P4/mmm, No. 123" m_tot_mub_per_cell=4.4 energy_ev_per_atom=-2.73 formation_energy_uncorrected_ev_per_atom=1.14 pbc="T T T"
Zn 0.000 0.000 0.000
Os 2.465 2.465 2.641
Se 0.000 0.000 2.641
Br 0.000 2.465 0.000
Br 2.465 0.000 0.000

---

[3]
4
Lattice="4.303 -1.531 0.000 4.303 1.531 0.000 -0.265 0.000 4.615" Properties=species:S:1:pos:R:3 comment="BeAs2W, relaxed, DFT PBE" sg="C2/m, No. 12" m_tot_mub_per_cell=0.0 energy_ev_per_atom=-6.13 formation_enthalpy_0k_ev_per_fu=1.5 pbc="T T T"
Be 0.000 0.000 0.000
As 1.710 0.000 3.423
As 6.631 0.000 1.192
W 4.170 0.000 2.308

---

[4]
5
Lattice="5.187 0.000 0.000 0.000 5.187 0.000 0.000 0.000 5.404" Properties=species:S:1:pos:R:3 comment="Te2PIrI, relaxed, DFT PBE" sg="P4/mmm, No. 123" m_tot_mub_per_cell=0.0 energy_ev_per_atom=-3.53 formation_energy_uncorrected_ev_per_atom=0.89 pbc="T T T"
Te 0.000 2.594 0.000
Te 2.594 0.000 0.000
P 0.000 0.000 2.702
Ir 2.594 2.594 0.000
I 2.594 2.594 2.702

---

[5]
4
Lattice="2.818 0.000 0.000 0.000 4.469 0.000 -0.892 0.000 5.415" Properties=species:S:1:pos:R:3 comment="ZnInW2, relaxed, DFT PBE" sg="Pm, No. 6" m_tot_mub_per_cell=0.0 energy_ev_per_atom=-7.08 formation_enthalpy_0k_ev_per_fu=1.6 pbc="T T T"
Zn 0.000 0.000 0.000
In 2.343 2.235 1.436
W 0.272 2.235 4.175
W 0.986 0.000 2.918

---

[6]
8
Lattice="-2.770 2.770 3.372 2.770 -2.770 3.372 2.770 2.770 -3.372" Properties=species:S:1:pos:R:3 comment="Li2LaOsN4, relaxed, DFT PBE" sg="I-42m, No. 121" m_tot_mub_per_cell=0.0 energy_ev_per_atom=-7.17 formation_energy_uncorrected_ev_per_atom=-0.51 pbc="T T T"
Li 2.770 0.000 1.686
Li 0.000 2.770 1.686
La 0.000 0.000 0.000
Os 0.000 0.000 3.372
N 1.707 1.707 -1.050
N 1.063 -1.063 4.422
N 1.063 1.063 2.322
N -1.063 1.063 4.422